# ErPuHgO6 PBE optimized geometry
data_ErPuHgO6
_chemical_formula_sum 'Er2 Pu2 Hg2 O12'
_cell_length_a 5.1366
_cell_length_b 5.1366
_cell_length_c 10.2001
_cell_angle_alpha 90.00
_cell_angle_beta 90.00
_cell_angle_gamma 90.00
_symmetry_space_group_name_H-M 'P 42 n m'
_symmetry_Int_Tables_number 102
_symmetry_space_group_name_Hall 'P 4n -2n'
loop_
_atom_site_label
_atom_site_type_symbol
_atom_site_fract_x
_atom_site_fract_y
_atom_site_fract_z
_atom_site_occupancy
Er1 Er 0.0000 0.0000 0.0000 1
Pu1 Pu 0.0000 0.0000 0.6635 1
Hg1 Hg 0.0000 0.0000 0.3303 1
O1 O 0.1790 0.1790 0.8171 1
O2 O 0.1959 0.1959 0.5214 1
O3 O 0.2229 0.2229 0.1565 1
# **Spin magnetization**: 2.00 Bohr magnetons per cell
# **DFT total energy**: -7.607 eV/atom
# **DOS(E_F)**: 1.9 states/eV/cell



# Er2PuHgO8 PBE optimized geometry
data_Er2PuHgO8
_chemical_formula_sum 'Er2 Pu1 Hg1 O8'
_cell_length_a 4.9458
_cell_length_b 7.3106
_cell_length_c 4.9515
_cell_angle_alpha 90.00
_cell_angle_beta 93.11
_cell_angle_gamma 90.00
_symmetry_space_group_name_H-M 'P 1 2/m 1'
_symmetry_Int_Tables_number 10
_symmetry_space_group_name_Hall '-P 2y'
loop_
_atom_site_label
_atom_site_type_symbol
_atom_site_fract_x
_atom_site_fract_y
_atom_site_fract_z
_atom_site_occupancy
Er1 Er 0.0000 0.2416 0.0000 1
Pu1 Pu 0.5000 0.5000 0.5000 1
Hg1 Hg 0.5000 0.0000 0.5000 1
O1 O 0.1945 0.0000 0.1958 1
O2 O 0.2036 0.5000 0.2058 1
O3 O 0.3096 0.3072 0.6925 1
# **Spin magnetization**: 0.12 Bohr magnetons per cell
# **DFT total energy**: -7.624 eV/atom
# **DOS(E_F)**: 5.7 states/eV/cell



# ErReHgO6 PBE optimized geometry
data_ErReHgO6
_chemical_formula_sum 'Er2 Re2 Hg2 O12'
_cell_length_a 5.5757
_cell_length_b 9.9483
_cell_length_c 5.2736
_cell_angle_alpha 90.00
_cell_angle_beta 105.31
_cell_angle_gamma 90.00
_symmetry_space_group_name_H-M 'C 1 2 1'
_symmetry_Int_Tables_number 5
_symmetry_space_group_name_Hall 'C 2y'
loop_
_atom_site_label
_atom_site_type_symbol
_atom_site_fract_x
_atom_site_fract_y
_atom_site_fract_z
_atom_site_occupancy
Er1 Er 0.0000 0.0000 0.0000 1
Re1 Re 0.0000 0.6517 0.0000 1
Hg1 Hg 0.0000 0.3107 0.5000 1
O1 O 0.1738 0.8176 0.2085 1
O2 O 0.2093 0.5371 0.2232 1
O3 O 0.2281 0.6562 0.7984 1
# **Spin magnetization**: 0.00 Bohr magnetons per cell
# **DFT total energy**: -7.032 eV/atom
# **DOS(E_F)**: 0.0 states/eV/cell



# ErTcHgO6 PBE optimized geometry
data_ErTcHgO6
_chemical_formula_sum 'Er2 Tc2 Hg2 O12'
_cell_length_a 5.6054
_cell_length_b 9.8664
_cell_length_c 5.3143
_cell_angle_alpha 90.00
_cell_angle_beta 105.77
_cell_angle_gamma 90.00
_symmetry_space_group_name_H-M 'C 1 2 1'
_symmetry_Int_Tables_number 5
_symmetry_space_group_name_Hall 'C 2y'
loop_
_atom_site_label
_atom_site_type_symbol
_atom_site_fract_x
_atom_site_fract_y
_atom_site_fract_z
_atom_site_occupancy
Er1 Er 0.0000 0.0000 0.0000 1
Tc1 Tc 0.0000 0.6487 0.0000 1
Hg1 Hg 0.0000 0.3149 0.5000 1
O1 O 0.1760 0.8219 0.2109 1
O2 O 0.2114 0.5371 0.2238 1
O3 O 0.2235 0.6603 0.8025 1
# **Spin magnetization**: 0.00 Bohr magnetons per cell
# **DFT total energy**: -6.620 eV/atom



# ErTc2HgO8 PBE optimized geometry
data_ErTc2HgO8
_chemical_formula_sum 'Er1 Tc2 Hg1 O8'
_cell_length_a 6.1306
_cell_length_b 6.1306
_cell_length_c 8.2732
_cell_angle_alpha 90.00
_cell_angle_beta 90.00
_cell_angle_gamma 120.00
_symmetry_space_group_name_H-M 'P -3 m 1'
_symmetry_Int_Tables_number 164
_symmetry_space_group_name_Hall '-P 3 2"'
loop_
_atom_site_label
_atom_site_type_symbol
_atom_site_fract_x
_atom_site_fract_y
_atom_site_fract_z
_atom_site_occupancy
Er1 Er 0.0000 0.0000 0.0000 1
Tc1 Tc 0.3333 0.6667 0.2201 1
Hg1 Hg 0.0000 0.0000 0.5000 1
O1 O 0.1760 0.3519 0.1469 1
O2 O 0.3333 0.6667 0.4274 1
# **Spin magnetization**: 0.00 Bohr magnetons per cell
# **DFT total energy**: -7.156 eV/atom
# **DOS(E_F)**: 5.6 states/eV/cell



# ErHg2TeO6 PBE optimized geometry
data_ErHg2TeO6
_chemical_formula_sum 'Er3 Hg6 Te3 O18'
_cell_length_a 5.7629
_cell_length_b 5.7629
_cell_length_c 14.7276
_cell_angle_alpha 90.00
_cell_angle_beta 90.00
_cell_angle_gamma 120.00
_symmetry_space_group_name_H-M 'R -3'
_symmetry_Int_Tables_number 148
_symmetry_space_group_name_Hall '-R 3'
loop_
_atom_site_label
_atom_site_type_symbol
_atom_site_fract_x
_atom_site_fract_y
_atom_site_fract_z
_atom_site_occupancy
Er1 Er 0.0000 0.0000 0.0000 1
Hg1 Hg 0.0000 0.0000 0.2492 1
Te1 Te 0.0000 0.0000 0.5000 1
O1 O 0.0209 0.6147 0.2459 1
# **Spin magnetization**: 0.00 Bohr magnetons per cell
# **DFT total energy**: -5.128 eV/atom
# **DOS(E_F)**: 9.5 states/eV/cell